! ErMgHg | Alexandria | GGA-PBE | relaxed; values from VASP
! Formation energy, eV per atom: -0.19
! Space group: F-43m
! Crystal system: cubic
! Magnetic moment, μB per atom: 0.25
&SYSTEM
  ibrav = 0, nat = 3, ntyp = 3
/
ATOMIC_SPECIES
Er 167.26 Er.upf
Hg 200.59 Hg.upf
Mg 24.30 Mg.upf
CELL_PARAMETERS angstrom
-2.2650 4.2578 -0.7062
-4.4567 0.7236 1.8361
-0.6295 3.0737 3.7301
ATOMIC_POSITIONS crystal
Er 0.0000 0.0000 0.0000
Hg 0.2500 0.2500 0.2500
Mg 0.5000 0.5000 0.5000

! YPa3 | Alexandria | GGA-PBE | relaxed; values from VASP
! Offset from the most stable computed form, kJ per mole of atoms: 2.6
! Formation energy, eV per atom: 0.21
! Space group: Pm-3m
! Crystal system: cubic
! Magnetic moment, μB per atom: 0.00
&SYSTEM
  ibrav = 0, nat = 4, ntyp = 2
/
ATOMIC_SPECIES
Pa 231.04 Pa.upf
Y 88.91 Y.upf
CELL_PARAMETERS angstrom
4.7195 0.0000 0.0000
0.0000 4.7195 0.0000
0.0000 0.0000 4.7195
ATOMIC_POSITIONS crystal
Pa 0.5000 0.5000 0.0000
Pa 0.0000 0.5000 0.5000
Pa 0.5000 0.0000 0.5000
Y 0.0000 0.0000 0.0000

no.,mass density (g/cm3),uncorrected energy (eV per atom)
1,7.95,-2.34
2,12.35,-8.53